Density functional theory data (PBE-GGA) for LiBiPdAu after structural relaxation.

As for the crystal system: cubic. The energy relative to the lowest polymorph listed for this composition comes out at 13 meV/atom. The formation energy comes out at -0.351 eV/atom.

The structure belongs to space group F-43m (No. 216); the cell edges are 6.6739, 6.6739 and 6.6739 Å and the angles 90.00°, 90.00° and 90.00°. The inequivalent atoms are Li at (0.0000, 0.0000, 0.0000), Bi at (0.2500, 0.2500, 0.7500), Pd at (0.0000, 0.0000, 0.5000) and Au at (0.2500, 0.2500, 0.2500).